(1)
First-principles (PBE) data for a relaxed Ba3NdHo3Se8 crystal, as listed in the Alexandria database.

a b c (Å): 8.4495 8.4499 8.9553
angles (deg): 118.16 90.00 120.00
Last column: nearest neighbours and their distance in Å.
Sites, in units of the cell vectors:
1 Se 0.2441 0.9706 0.7146  2 Ho 2.89, 1 Nd 3.00
2 Se 0.7265 0.9706 0.7146  2 Ho 2.89, 1 Nd 3.00
3 Se 0.7559 0.0294 0.2854  2 Ho 2.89, 1 Nd 3.00
4 Se 0.2440 0.4880 0.7146  2 Ho 2.89, 1 Nd 2.99
5 Se 0.7560 0.5120 0.2854  2 Ho 2.89, 1 Nd 2.99
6 Se 0.7372 0.4745 0.7115  3 Ho 2.91
7 Se 0.2628 0.5255 0.2885  3 Ho 2.91
8 Se 0.2735 0.0294 0.2854  2 Ho 2.89, 1 Nd 3.00
9 Ho 0.5000 0.5000 0.5000  6 Se 2.89-2.91
10 Ho 0.5000 0.0000 0.5000  6 Se 2.89-2.91
11 Ho 0.0000 0.5000 0.5000  6 Se 2.89-2.91
12 Nd 0.0000 0.0000 0.5000  6 Se 2.99-3.00
13 Ba 0.0000 0.5000 0.0000  6 Se 3.26-3.28
14 Ba 0.0000 0.0000 0.0000  6 Se 3.26-3.28
15 Ba 0.5000 0.5000 0.0000  6 Se 3.26-3.28

Results
SG: R-3m
E_tot, eV/atom: -5.391
Magnetization, μB/atom: 0.000

(2)
First-principles (PBE) data for a relaxed La2Ho3Tm2 crystal, as listed in the Alexandria database.

a b c (Å): 3.5854 8.7590 7.9846
angles (deg): 111.05 102.97 90.00
Last column: nearest neighbours and their distance in Å.
Sites, in units of the cell vectors:
1 Ho 0.0000 0.0000 0.0000  6 Ho 3.55-3.59, 4 La 3.57, 2 Tm 3.61
2 Ho 0.2882 0.8586 0.5764  3 Tm 3.54-3.59, 6 Ho 3.55-3.60, 3 La 3.56-3.60
3 Ho 0.7118 0.1414 0.4236  3 Tm 3.54-3.59, 6 Ho 3.55-3.60, 3 La 3.56-3.60
4 Tm 0.8534 0.5702 0.7068  4 Tm 3.49-3.59, 4 Ho 3.54-3.61, 4 La 3.60-3.64
5 Tm 0.1466 0.4298 0.2932  4 Tm 3.49-3.59, 4 Ho 3.54-3.61, 4 La 3.60-3.64
6 La 0.4280 0.2840 0.8559  5 Ho 3.56-3.60, 3 La 3.59-3.62, 4 Tm 3.60-3.64
7 La 0.5720 0.7160 0.1441  5 Ho 3.56-3.60, 3 La 3.59-3.62, 4 Tm 3.60-3.64

Results
SG: C2/m
Energy of formation, eV/atom: 0.031
E_tot, eV/atom: -4.616
Magnetization, μB/atom: 0.000

(3)
First-principles (PBE) data for a relaxed Ta2SbMo crystal, as listed in the Alexandria database.

a b c (Å): 3.4985 3.4985 6.0001
angles (deg): 90.00 90.00 90.00
Last column: nearest neighbours and their distance in Å.
Sites, in units of the cell vectors:
1 Sb 0.5000 0.5000 0.7500  8 Ta 2.93, 2 Mo 3.00
2 Ta 0.0000 0.0000 0.4893  4 Mo 2.86, 2 Ta 2.87-3.13, 4 Sb 2.93
3 Ta 0.0000 0.0000 0.0107  4 Mo 2.86, 2 Ta 2.87-3.13, 4 Sb 2.93
4 Mo 0.5000 0.5000 0.2500  8 Ta 2.86, 2 Sb 3.00

Results
SG: P4/mmm
E_tot, eV/atom: -9.603
Magnetization, μB/atom: 0.000

(4)
First-principles (PBE) data for a relaxed InAs3F crystal, as listed in the Alexandria database.

a b c (Å): 4.6718 4.6718 4.6718
angles (deg): 90.00 90.00 90.00
Last column: nearest neighbours and their distance in Å.
Sites, in units of the cell vectors:
1 As 0.0000 0.5000 0.0000  2 F 2.34
2 As 0.0000 0.0000 0.5000  2 F 2.34
3 As 0.5000 0.0000 0.0000  2 F 2.34
4 F 0.0000 0.0000 0.0000  6 As 2.34
5 In 0.5000 0.5000 0.5000  12 As 3.30

Results
SG: Pm-3m
E_tot, eV/atom: -3.479
Magnetization, μB/atom: 0.000

(5)
First-principles (PBE) data for a relaxed LiMg crystal, as listed in the Alexandria database.

a b c (Å): 7.7457 7.7457 5.0415
angles (deg): 90.00 90.00 156.10
Last column: nearest neighbours and their distance in Å.
Sites, in units of the cell vectors:
1 Li 0.8669 0.1331 0.5000  4 Li 2.92-3.21, 6 Mg 2.99-3.04
2 Li 0.5276 0.4724 0.5000  4 Li 2.92-3.21, 6 Mg 2.99-3.02
3 Li 0.6917 0.3083 0.0000  8 Mg 2.94-2.99, 2 Li 3.21
4 Mg 0.3545 0.6455 0.0000  6 Li 2.94-2.99, 4 Mg 3.10-3.21
5 Mg 0.0293 0.9707 0.0000  6 Li 2.94-2.99, 4 Mg 3.10-3.21
6 Mg 0.1967 0.8033 0.5000  8 Li 2.99-3.04, 2 Mg 3.21

Results
SG: Amm2
Energy of formation, eV/atom: -0.054
E_tot, eV/atom: -1.808
Magnetization, μB/atom: 0.000

(6)
First-principles (PBE) data for a relaxed IrPtCl2 crystal, as listed in the Alexandria database.

a b c (Å): 9.0785 9.0785 9.0785
angles (deg): 18.77 18.77 18.77
Last column: nearest neighbours and their distance in Å.
Sites, in units of the cell vectors:
1 Cl 0.9124 0.9124 0.9124  1 Pt 2.34
2 Cl 0.0876 0.0876 0.0876  1 Pt 2.34
3 Ir 0.5000 0.5000 0.5000  6 Cl 2.72, 6 Ir 2.96
4 Pt 0.0000 0.0000 0.0000  2 Cl 2.34

Results
SG: R-3m
E_tot, eV/atom: -3.964
Magnetization, μB/atom: 0.093

Which value of E_tot does entry 4 give? -3.479 eV/atom